## Ba2SrRuBr (meta-GGA SCAN)

Data for a PBEsol-optimized structure of Ba2SrRuBr.

Unit cell a=5.795 b=5.795 c=5.793 alpha=90.00 beta=90.00 gamma=90.00
Atoms (fractional coordinates):
Ba: 0.000 0.500 0.000
Ba: 0.500 0.000 0.000
Sr: 0.000 0.000 0.500
Ru: 0.000 0.000 0.000
Br: 0.500 0.500 0.500

Summary:
Total magnetic moment = 0.00 μB/cell
Formation energy (no corrections) = -281 meV per atom
E_tot = -31.414 eV/atom